Compound: Sr2GaP
Source: Alexandria via LeMat-Bulk
Functional: GGA-PBE
Structure: optimized geometry

Cell and atoms, written as POSCAR:
```
Sr2GaP
1.0
8.400 0.000 0.000
0.000 8.400 0.000
4.200 4.200 3.694
Ga Sr P
2 4 2
Cartesian
0.000 0.000 0.000
8.400 4.200 1.847
2.407 6.300 0.923
10.500 10.193 2.770
5.993 2.100 0.923
6.300 6.607 2.770
4.200 4.200 0.000
4.200 8.400 1.847
```

Values from the calculation:
Mass density (g cm⁻³): 3.516
Energy above the most stable polymorph in this dataset (eV per atom): 0.118
Calculated total energy (eV per atom): -3.303
Formation enthalpy at 0 K (eV/atom): -0.3530